No. 1
First-principles (PBE) data for a geometry-optimized K2PtBr6 structure, as listed in the Alexandria database.

Values from the calculation:
Total magnetization (μB per formula unit): 1.5
Distance to the lowest polymorph of the same formula (meV per atom): 279.8
N(E_F) (states/eV per cell): 9.74
DFT total energy (eV/atom): -2.727

Cell: 8.6377 8.6377 8.6377 Å, 130.89 128.71 73.74°
Sites, in units of the cell vectors:
K 0.1765 0.1765 0.0000
K 0.8235 0.8235 0.0000
Pt 0.5000 0.5000 0.0000
Br 0.0000 0.3159 0.3159
Br 0.0000 0.6841 0.6841
Br 0.3754 0.1327 0.7574
Br 0.3754 0.6180 0.2426
Br 0.6246 0.3820 0.7574
Br 0.6246 0.8673 0.2426



No. 2
First-principles (PBE) data for a geometry-optimized KPtBr2 structure, as listed in the Alexandria database.

Values from the calculation:
Total magnetization (μB per formula unit): 1.0
Distance to the lowest polymorph of the same formula (meV per atom): 535.9
N(E_F) (states/eV per cell): 3.97
DFT total energy (eV/atom): -2.738

Cell: 3.6631 3.6631 7.5466 Å, 90.00 90.00 90.00°
Sites, in units of the cell vectors:
K 0.0000 0.0000 0.0000
Pt 0.0000 0.0000 0.5000
Br 0.5000 0.5000 0.2806
Br 0.5000 0.5000 0.7194



No. 3
First-principles (PBE) data for a geometry-optimized KPtBr2 structure, as listed in the Alexandria database.

Values from the calculation:
Total magnetization (μB per formula unit): 0.0
Distance to the lowest polymorph of the same formula (meV per atom): 93.8
N(E_F) (states/eV per cell): 1.45
DFT total energy (eV/atom): -3.180

Cell: 6.8312 6.8312 5.3397 Å, 102.02 102.02 34.46°
Sites, in units of the cell vectors:
K 0.0000 0.0000 0.0000
Pt 0.3029 0.3029 0.1639
Br 0.4732 0.4732 0.4865
Br 0.7199 0.7199 0.9555



No. 4
First-principles (PBE) data for a geometry-optimized KPtBr2 structure, as listed in the Alexandria database.

Values from the calculation:
Total magnetization (μB per formula unit): 1.0
Distance to the lowest polymorph of the same formula (meV per atom): 528.6
N(E_F) (states/eV per cell): 6.66
DFT total energy (eV/atom): -2.745

Cell: 5.2016 5.2016 5.2016 Å, 60.00 60.00 60.00°
Sites, in units of the cell vectors:
K 0.0000 0.0000 0.0000
Pt 0.5000 0.5000 0.5000
Br 0.2500 0.2500 0.2500
Br 0.7500 0.7500 0.7500



No. 5
First-principles (PBE) data for a geometry-optimized KPtBr2 structure, as listed in the Alexandria database.

Values from the calculation:
Total magnetization (μB per formula unit): 0.0
Distance to the lowest polymorph of the same formula (meV per atom): 0.0
N(E_F) (states/eV per cell): 0.52
DFT total energy (eV/atom): -3.273

Cell: 4.6422 4.9666 5.2503 Å, 90.00 90.49 90.00°
Sites, in units of the cell vectors:
K 0.0000 0.0000 0.0000
Pt 0.4406 0.5000 0.4960
Br 0.4735 0.5000 0.9962
Br 0.5455 0.0000 0.4967



No. 6
First-principles (PBE) data for a geometry-optimized KPtBr2 structure, as listed in the Alexandria database.

Values from the calculation:
Total magnetization (μB per formula unit): 0.0
Distance to the lowest polymorph of the same formula (meV per atom): 183.7
N(E_F) (states/eV per cell): 7.06
DFT total energy (eV/atom): -3.090

Cell: 8.7118 8.7118 8.7118 Å, 138.97 138.97 59.42°
Sites, in units of the cell vectors:
K 0.0000 0.0000 0.0000
K 0.7500 0.2500 0.5000
Pt 0.2500 0.7500 0.5000
Pt 0.5000 0.5000 0.0000
Br 0.2311 0.6250 0.1061
Br 0.3750 0.4811 0.6061
Br 0.5189 0.1250 0.8939
Br 0.8750 0.7689 0.3939



No. 7
First-principles (PBE) data for a geometry-optimized KPtBr2 structure, as listed in the Alexandria database.

Values from the calculation:
Total magnetization (μB per formula unit): 0.0
Distance to the lowest polymorph of the same formula (meV per atom): 449.7
N(E_F) (states/eV per cell): 3.58
DFT total energy (eV/atom): -2.824

Cell: 3.5503 5.1491 5.2023 Å, 90.00 90.00 90.00°
Sites, in units of the cell vectors:
K 0.0000 0.0000 0.0000
Pt 0.0000 0.5000 0.5000
Br 0.5000 0.0000 0.5000
Br 0.5000 0.5000 0.0000



No. 8
First-principles (PBE) data for a geometry-optimized K3PtBr6 structure, as listed in the Alexandria database.

Values from the calculation:
Total magnetization (μB per formula unit): 1.0
N(E_F) (states/eV per cell): 11.05
DFT total energy (eV/atom): -3.020

Cell: 9.0299 9.0299 9.0299 Å, 89.14 89.14 89.14°
Sites, in units of the cell vectors:
K 0.0609 0.7280 0.5842
K 0.2720 0.4158 0.9391
K 0.4158 0.9391 0.2720
K 0.5842 0.0609 0.7280
K 0.7280 0.5842 0.0609
K 0.9391 0.2720 0.4158
Pt 0.0000 0.0000 0.0000
Pt 0.5000 0.5000 0.5000
Br 0.0440 0.7197 0.9533
Br 0.0467 0.9560 0.2803
Br 0.2400 0.4008 0.5754
Br 0.2803 0.0467 0.9560
Br 0.4008 0.5754 0.2400
Br 0.4246 0.7600 0.5992
Br 0.5754 0.2400 0.4008
Br 0.5992 0.4246 0.7600
Br 0.7197 0.9533 0.0440
Br 0.7600 0.5992 0.4246
Br 0.9533 0.0440 0.7197
Br 0.9560 0.2803 0.0467



Number 1: formation energy from raw total energies -0.697 eV per atom. Number 2: formation energy from raw total energies -0.117 eV per atom. Number 3: formation energy from raw total energies -0.559 eV per atom. Number 4: formation energy from raw total energies -0.124 eV per atom. Number 5: formation energy from raw total energies -0.652 eV per atom. Number 6: formation energy from raw total energies -0.469 eV per atom. Number 7: formation energy from raw total energies -0.203 eV per atom. Number 8: formation energy from raw total energies -1.083 eV per atom.